Entry 1:
ZrTePO2: relaxed, PBE.

Output
spin magnetization: 0.66 μB/f.u.
DOS(E_F): 3.773 states/eV/f.u.
formation energy from raw total energies: -194 kJ/mol of formula units
symmetry: No. 123

Lattice parameters (Å, degrees): 4.036 4.036 5.382 90.00 90.00 90.00
Sites, in units of the cell vectors:
P1 0.000 0.000 0.500
O1 0.000 0.500 0.000
O2 0.500 0.000 0.000
Te1 0.000 0.000 0.000
Zr1 0.500 0.500 0.500

Entry 2:
Cs2URh3O12: relaxed, PBE.

Output
spin magnetization: 0.82 μB/f.u.
DOS(E_F): 16.159 states/eV/f.u.
formation energy from raw total energies: -2287 kJ/mol of formula units
symmetry: No. 166

Lattice parameters (Å, degrees): 7.590 7.590 7.590 57.09 57.09 57.09
Sites, in units of the cell vectors:
O1 0.314 0.922 0.314
O2 0.686 0.078 0.686
O3 0.069 0.069 0.671
O4 0.686 0.686 0.078
O5 0.922 0.314 0.314
O6 0.931 0.931 0.329
O7 0.931 0.329 0.931
O8 0.329 0.931 0.931
O9 0.078 0.686 0.686
O10 0.069 0.671 0.069
O11 0.671 0.069 0.069
O12 0.314 0.314 0.922
Cs1 0.617 0.617 0.617
Cs2 0.383 0.383 0.383
Rh1 0.000 0.000 0.500
Rh2 0.000 0.500 0.000
Rh3 0.500 0.000 0.000
U1 0.000 0.000 0.000

Entry 3:
NbS2BrCl: relaxed, PBE.

Output
spin magnetization: 2.71 μB/f.u.
DOS(E_F): 6.752 states/eV/f.u.
formation energy from raw total energies: 556 kJ/mol of formula units
symmetry: No. 123

Lattice parameters (Å, degrees): 4.952 4.952 4.851 90.00 90.00 90.00
Sites, in units of the cell vectors:
Cl1 0.000 0.000 0.500
Nb1 0.500 0.500 0.500
S1 0.500 0.000 0.000
S2 0.000 0.500 0.000
Br1 0.000 0.000 0.000

Entry 4:
RbLaTaGeTe: relaxed, PBE.

Output
spin magnetization: 0.05 μB/f.u.
DOS(E_F): 3.979 states/eV/f.u.
formation energy from raw total energies: -97 kJ/mol of formula units
symmetry: No. 8

Lattice parameters (Å, degrees): 4.447 5.865 8.318 91.23 105.49 112.27
Sites, in units of the cell vectors:
Te1 0.467 0.414 0.796
Rb1 0.889 0.037 0.017
Ta1 0.155 0.074 0.514
La1 0.868 0.515 0.497
Ge1 0.517 0.928 0.382